Compound: Sr2Ca2NdMn5O15
Source: Alexandria via LeMat-Bulk
Functional: PBE with a Hubbard U
Structure: relaxed

## Properties
Total magnetization = 32.00 μB per cell
E_tot = -355.78 eV for the cell shown

a b c (Å): 5.4969 9.4139 12.1241
angles (deg): 97.23 102.99 106.59
With the nearest neighbours (Å) after each atom.
Space group P1 (No. 1)
Inequivalent atoms, fractional coordinates:
Sr: 0.0000 0.0000 0.0000  5 O 2.45-2.64
Sr: 0.1843 0.7887 0.5947  6 O 2.47-2.72
Sr: 0.5908 0.3974 0.7991  6 O 2.46-2.69
Sr: 0.7890 0.1860 0.3937  5 O 2.46-2.63
Ca: 0.0985 0.8837 0.2906  6 O 2.37-2.64
Ca: 0.3205 0.7097 0.9037  6 O 2.38-2.53
Ca: 0.4975 0.4775 0.4902  6 O 2.38-2.56
Ca: 0.7118 0.2988 0.1019  5 O 2.37-2.49
Nd: 0.4001 0.5921 0.1967  5 O 2.36-2.51
Nd: 0.8996 0.0940 0.6973  7 O 2.40-2.64
Mn: 0.0459 0.4456 0.6475  6 O 1.95-1.98
Mn: 0.1443 0.3453 0.9478  6 O 1.94-1.97
Mn: 0.2475 0.2413 0.2463  6 O 1.93-1.97
Mn: 0.3455 0.1428 0.5445  6 O 1.93-1.99
Mn: 0.4482 0.0430 0.8489  6 O 1.93-1.97
Mn: 0.5504 0.9442 0.1477  6 O 1.93-1.98
Mn: 0.6409 0.8411 0.4460  6 O 1.94-1.97
Mn: 0.7428 0.7406 0.7463  6 O 1.94-1.98
Mn: 0.8496 0.6438 0.0455  6 O 1.94-1.98
Mn: 0.9496 0.5418 0.3482  6 O 1.94-1.97
O: 0.0282 0.3822 0.7942  2 Mn 1.94-1.96
O: 0.0768 0.4937 0.4969  2 Mn 1.94-1.97
O: 0.0902 0.8987 0.7755  2 Mn 1.97-1.98
O: 0.1060 0.4092 0.2723  2 Mn 1.96-1.97
O: 0.2069 0.2866 0.6210  2 Mn 1.97
O: 0.2153 0.7758 0.1182  2 Mn 1.97-1.98
O: 0.2489 0.2073 0.4005  2 Mn 1.93
O: 0.2662 0.1922 0.8731  2 Mn 1.96-1.97
O: 0.2790 0.2993 0.0987  2 Mn 1.96-1.97
O: 0.2836 0.7020 0.3698  2 Mn 1.95-1.96
O: 0.3705 0.0705 0.2147  2 Mn 1.94-1.96
O: 0.3830 0.6013 0.7254  2 Mn 1.95-1.98
O: 0.4360 0.9858 0.9957  2 Mn 1.93
O: 0.4589 0.9899 0.4677  2 Mn 1.94-1.96
O: 0.4613 0.0902 0.6959  2 Mn 1.97-1.98
O: 0.4779 0.5121 0.9815  2 Mn 1.96-1.98
O: 0.6095 0.3839 0.3125  2 Mn 1.94-1.97
O: 0.6198 0.8947 0.8199  2 Mn 1.93-1.96
O: 0.6451 0.8092 0.6014  2 Mn 1.94-1.96
O: 0.6679 0.8825 0.2938  2 Mn 1.96
O: 0.6964 0.2883 0.5771  2 Mn 1.94-1.98
O: 0.7044 0.8042 0.0785  2 Mn 1.94-1.96
O: 0.7775 0.6742 0.4155  2 Mn 1.95-1.97
O: 0.7926 0.1953 0.9218  2 Mn 1.95-1.97
O: 0.8325 0.5965 0.1981  2 Mn 1.97
O: 0.8448 0.5850 0.6659  2 Mn 1.94-1.96
O: 0.8741 0.6880 0.8955  2 Mn 1.94-1.97
O: 0.8764 0.1139 0.1816  2 Mn 1.95-1.97
O: 0.9876 0.9955 0.5187  2 Mn 1.97-1.99
O: 0.9985 0.4814 0.0262  2 Mn 1.94-1.95